Entry 1:
A relaxed Fe2TePt crystal, computed with PBE.

## Properties
DOS at the Fermi energy: 0.85 states/eV per atom
E_form (uncorrected): 67 kJ/mol of formula units
Mass density: 11.37 g/cm³

Cell and atoms, written as POSCAR:
```
Fe2TePt
1.0
-1.958 1.968 4.115
1.958 -1.968 4.115
1.958 1.968 -4.115
Fe Te Pt
2 1 1
Direct
0.250 0.250 0.000
0.750 0.750 0.000
0.500 0.000 0.500
0.000 0.500 0.500
```

***

Entry 2:
A relaxed Tm4TlHg3 crystal, computed with PBE.

## Properties
DOS at the Fermi energy: 0.86 states/eV per atom
Mass density: 12.20 g/cm³
Energy of formation from the pure elements: -3.44 eV/f.u.
E above lowest polymorph: 0 meV/atom

Cell and atoms, written as POSCAR:
```
Tm4TlHg3
1.0
3.684 0.000 0.000
0.000 3.684 0.000
0.000 0.000 14.864
Tm Tl Hg
4 1 3
Direct
0.000 0.000 0.123
0.000 0.000 0.368
0.000 0.000 0.632
0.000 0.000 0.877
0.500 0.500 0.500
0.500 0.500 0.000
0.500 0.500 0.245
0.500 0.500 0.755
```

***

Entry 3:
A relaxed ZrSn2Hg crystal, computed with PBE.

## Properties
DOS at the Fermi energy: 0.37 states/eV per atom
Mass density: 8.71 g/cm³
Energy of formation from the pure elements: 0.49 eV/f.u.

Cell and atoms, written as POSCAR:
```
ZrSn2Hg
1.0
-4.016 4.016 3.128
4.016 -4.016 3.128
4.016 4.016 -3.128
Zr Sn Hg
2 4 2
Direct
0.000 0.000 0.000
0.750 0.250 0.500
0.137 0.625 0.012
0.375 0.387 0.512
0.613 0.125 0.988
0.875 0.863 0.488
0.250 0.750 0.500
0.500 0.500 0.000
```

***

Entry 4:
A relaxed Sr3LaSc crystal, computed with PBE.

## Properties
DOS at the Fermi energy: 0.41 states/eV per atom
Mass density: 3.24 g/cm³
Energy of formation from the pure elements: 4.68 eV/f.u.
E above lowest polymorph: 234 meV/atom

Cell and atoms, written as POSCAR:
```
Sr3LaSc
1.0
6.120 0.000 0.000
0.000 6.120 0.000
0.000 0.000 6.120
Sr La Sc
3 1 1
Direct
0.000 0.000 0.500
0.000 0.500 0.000
0.500 0.000 0.000
0.000 0.000 0.000
0.500 0.500 0.500
```